Rb3Ca2HfSe6: relaxed, PBE.

Unit cell a=7.326 b=7.326 c=8.332 alpha=98.45 beta=98.45 gamma=119.97
Element x y z (fractional)
Rb: 0.000 0.000 0.000
Rb: 0.327 0.673 0.000
Rb: 0.673 0.327 0.000
Ca: 0.166 0.834 0.500
Ca: 0.834 0.166 0.500
Hf: 0.500 0.500 0.500
Se: 0.129 0.436 0.307
Se: 0.260 0.260 0.695
Se: 0.436 0.129 0.307
Se: 0.564 0.871 0.693
Se: 0.740 0.740 0.305
Se: 0.871 0.564 0.693

Calculated values
N(E_F) in states/eV per cell: 10.45
DFT total energy in eV/atom: -4.586
Formation energy without anion corrections in eV per atom: -1.439
Density in g cm⁻³: 4.43

---

Sm5Pd2Pt12: relaxed, PBE.

Unit cell a=8.404 b=8.404 c=6.848 alpha=92.93 beta=92.93 gamma=50.40
Element x y z (fractional)
Sm: 0.000 0.000 0.000
Sm: 0.245 0.245 0.933
Sm: 0.315 0.315 0.453
Sm: 0.685 0.685 0.547
Sm: 0.755 0.755 0.067
Pd: 0.295 0.705 0.500
Pd: 0.705 0.295 0.500
Pt: 0.042 0.668 0.748
Pt: 0.126 0.126 0.593
Pt: 0.191 0.603 0.147
Pt: 0.332 0.958 0.252
Pt: 0.397 0.809 0.853
Pt: 0.444 0.444 0.823
Pt: 0.556 0.556 0.177
Pt: 0.603 0.191 0.147
Pt: 0.668 0.042 0.748
Pt: 0.809 0.397 0.853
Pt: 0.874 0.874 0.407
Pt: 0.958 0.332 0.252

Calculated values
Formation energy in meV/atom: -848
N(E_F) in states/eV per cell: 7.74
DFT total energy in eV/atom: -6.452
Density in g cm⁻³: 14.75

---

NaCa3Cd8: relaxed, PBE.

Unit cell a=6.044 b=6.044 c=9.648 alpha=90.00 beta=90.00 gamma=120.00
Element x y z (fractional)
Na: 0.000 0.000 0.000
Ca: 0.000 0.000 0.375
Ca: 0.667 0.333 0.505
Ca: 0.667 0.333 0.885
Cd: 0.162 0.325 0.690
Cd: 0.162 0.838 0.690
Cd: 0.333 0.667 0.440
Cd: 0.333 0.667 0.941
Cd: 0.504 0.008 0.192
Cd: 0.504 0.496 0.192
Cd: 0.675 0.838 0.690
Cd: 0.992 0.496 0.192

Calculated values
Formation energy in meV/atom: -274
N(E_F) in states/eV per cell: 6.76
DFT total energy in eV/atom: -1.495
Density in g cm⁻³: 5.67

---

NbMo2Ir2: relaxed, PBE.

Unit cell a=7.645 b=7.645 c=2.787 alpha=90.00 beta=90.00 gamma=90.00
Element x y z (fractional)
Nb: 0.000 0.000 0.000
Nb: 0.500 0.500 0.000
Mo: 0.171 0.329 0.500
Mo: 0.329 0.829 0.500
Mo: 0.671 0.171 0.500
Mo: 0.829 0.671 0.500
Ir: 0.126 0.626 0.000
Ir: 0.374 0.126 0.000
Ir: 0.626 0.874 0.000
Ir: 0.874 0.374 0.000

Calculated values
Formation energy in meV/atom: -162
N(E_F) in states/eV per cell: 7.07
DFT total energy in eV/atom: -10.053
Density in g cm⁻³: 13.65

---

Li3BiN: relaxed, PBE.

Unit cell a=5.355 b=5.355 c=5.355 alpha=90.00 beta=90.00 gamma=90.00
Element x y z (fractional)
Li: 0.000 0.000 0.500
Li: 0.000 0.500 0.000
Li: 0.500 0.000 0.000
Bi: 0.000 0.000 0.000
N: 0.500 0.500 0.500

Calculated values
N(E_F) in states/eV per cell: 0.00
DFT total energy in eV/atom: -2.829
Formation energy without anion corrections in eV per atom: 0.760
Density in g cm⁻³: 2.64

---

PrGaAu: relaxed, PBE.

Unit cell a=6.061 b=6.061 c=6.061 alpha=146.36 beta=146.36 gamma=48.31
Element x y z (fractional)
Pr: 0.000 0.000 0.000
Ga: 0.691 0.691 0.000
Au: 0.313 0.313 0.000

Calculated values
Formation energy in meV/atom: -517
N(E_F) in states/eV per cell: 2.09
DFT total energy in eV/atom: -4.212
Density in g cm⁻³: 9.95

---

LaIn3Tc: relaxed, PBE.

Unit cell a=5.890 b=5.890 c=5.890 alpha=90.00 beta=90.00 gamma=90.00
Element x y z (fractional)
La: 0.000 0.000 0.000
In: 0.000 0.000 0.500
In: 0.000 0.500 0.000
In: 0.500 0.000 0.000
Tc: 0.500 0.500 0.500

Calculated values
Formation energy in meV/atom: 1865
N(E_F) in states/eV per cell: 10.05
DFT total energy in eV/atom: -2.837
Density in g cm⁻³: 4.72

---

ErAlO: relaxed, PBE.

Unit cell a=3.153 b=3.153 c=9.967 alpha=90.00 beta=90.00 gamma=90.00
Element x y z (fractional)
Er: 0.250 0.250 0.146
Er: 0.750 0.750 0.854
Al: 0.250 0.250 0.592
Al: 0.750 0.750 0.408
O: 0.250 0.250 0.913
O: 0.750 0.750 0.087

Calculated values
N(E_F) in states/eV per cell: 1.65
DFT total energy in eV/atom: -6.334
Formation energy without anion corrections in eV per atom: -1.913
Density in g cm⁻³: 7.05

---

Nd2Al4SiAu3: relaxed, PBE.

Unit cell a=4.413 b=4.413 c=10.373 alpha=90.00 beta=90.00 gamma=90.00
Element x y z (fractional)
Nd: 0.000 0.500 0.244
Nd: 0.500 0.000 0.756
Al: 0.000 0.000 0.500
Al: 0.000 0.500 0.870
Al: 0.500 0.000 0.130
Al: 0.500 0.500 0.500
Si: 0.500 0.500 0.000
Au: 0.000 0.000 0.000
Au: 0.000 0.500 0.631
Au: 0.500 0.000 0.369

Calculated values
N(E_F) in states/eV per cell: 2.84
DFT total energy in eV/atom: -4.654
Formation energy without anion corrections in eV per atom: -0.678
Density in g cm⁻³: 8.35

---

RbTl2AgCl5: relaxed, PBE.

Unit cell a=9.694 b=9.694 c=9.694 alpha=128.74 beta=128.74 gamma=75.43
Element x y z (fractional)
Rb: 0.250 0.250 0.000
Rb: 0.750 0.750 0.000
Tl: 0.170 0.670 0.840
Tl: 0.330 0.170 0.500
Tl: 0.670 0.830 0.500
Tl: 0.830 0.330 0.160
Ag: 0.250 0.750 0.500
Ag: 0.750 0.250 0.500
Cl: 0.000 0.000 0.000
Cl: 0.017 0.205 0.500
Cl: 0.205 0.705 0.187
Cl: 0.295 0.483 0.500
Cl: 0.483 0.983 0.187
Cl: 0.500 0.500 0.000
Cl: 0.517 0.017 0.813
Cl: 0.705 0.517 0.500
Cl: 0.795 0.295 0.813
Cl: 0.983 0.795 0.500

Calculated values
N(E_F) in states/eV per cell: 13.26
DFT total energy in eV/atom: -2.961
Formation energy without anion corrections in eV per atom: -0.985
Density in g cm⁻³: 4.80

---

LiCeH2F8: relaxed, PBE.

Unit cell a=3.861 b=4.909 c=8.054 alpha=94.34 beta=90.05 gamma=112.02
Element x y z (fractional)
Li: 0.000 0.000 0.000
Ce: 0.000 0.000 0.500
H: 0.014 0.460 0.245
H: 0.986 0.540 0.755
F: 0.072 0.283 0.724
F: 0.079 0.280 0.244
F: 0.389 0.734 0.521
F: 0.456 0.797 0.026
F: 0.544 0.203 0.974
F: 0.611 0.266 0.479
F: 0.921 0.720 0.756
F: 0.928 0.717 0.276

Calculated values
N(E_F) in states/eV per cell: 3.31
DFT total energy in eV/atom: -4.929
Density in g cm⁻³: 3.54

---

Ca4CeU3As8: relaxed, PBE.

Unit cell a=8.384 b=8.384 c=8.384 alpha=59.94 beta=59.94 gamma=59.94
Element x y z (fractional)
Ca: 0.000 0.000 0.000
Ca: 0.000 0.500 0.500
Ca: 0.500 0.000 0.500
Ca: 0.500 0.500 0.000
Ce: 0.500 0.500 0.500
U: 0.000 0.000 0.500
U: 0.000 0.500 0.000
U: 0.500 0.000 0.000
As: 0.237 0.747 0.747
As: 0.243 0.243 0.243
As: 0.253 0.253 0.763
As: 0.253 0.763 0.253
As: 0.747 0.237 0.747
As: 0.747 0.747 0.237
As: 0.757 0.757 0.757
As: 0.763 0.253 0.253

Calculated values
Formation energy in meV/atom: -1051
N(E_F) in states/eV per cell: 25.22
DFT total energy in eV/atom: -6.363
Density in g cm⁻³: 6.44

---

TbPu3Hg12: relaxed, PBE.

Unit cell a=4.679 b=4.679 c=19.022 alpha=90.00 beta=90.00 gamma=90.00
Element x y z (fractional)
Tb: 0.000 0.000 0.000
Pu: 0.000 0.000 0.248
Pu: 0.000 0.000 0.500
Pu: 0.000 0.000 0.752
Hg: 0.000 0.500 0.121
Hg: 0.000 0.500 0.374
Hg: 0.000 0.500 0.626
Hg: 0.000 0.500 0.879
Hg: 0.500 0.000 0.121
Hg: 0.500 0.000 0.374
Hg: 0.500 0.000 0.626
Hg: 0.500 0.000 0.879
Hg: 0.500 0.500 0.000
Hg: 0.500 0.500 0.245
Hg: 0.500 0.500 0.500
Hg: 0.500 0.500 0.755

Calculated values
Formation energy in meV/atom: -138
N(E_F) in states/eV per cell: 50.11
DFT total energy in eV/atom: -3.341
Density in g cm⁻³: 13.15

---

BaFeRe4: relaxed, PBE.

Unit cell a=5.428 b=5.428 c=5.428 alpha=60.00 beta=60.00 gamma=60.00
Element x y z (fractional)
Ba: 0.000 0.000 0.000
Fe: 0.750 0.750 0.750
Re: 0.376 0.376 0.376
Re: 0.376 0.376 0.872
Re: 0.376 0.872 0.376
Re: 0.872 0.376 0.376

Calculated values
Formation energy in meV/atom: 1023
N(E_F) in states/eV per cell: 7.37
DFT total energy in eV/atom: -9.007
Density in g cm⁻³: 13.77

---

Pm2Ga3GeAu4: relaxed, PBE.

Unit cell a=4.445 b=4.445 c=10.524 alpha=90.00 beta=90.00 gamma=90.00
Element x y z (fractional)
Pm: 0.000 0.500 0.248
Pm: 0.500 0.000 0.752
Ga: 0.000 0.500 0.869
Ga: 0.500 0.000 0.131
Ga: 0.500 0.500 0.500
Ge: 0.000 0.000 0.500
Au: 0.000 0.000 0.000
Au: 0.000 0.500 0.632
Au: 0.500 0.000 0.368
Au: 0.500 0.500 0.000

Calculated values
Formation energy in meV/atom: -605
N(E_F) in states/eV per cell: 5.60
DFT total energy in eV/atom: -4.235
Density in g cm⁻³: 10.86

---

Tb3Zr3WN8: relaxed, PBE.

Unit cell a=6.714 b=6.714 c=6.714 alpha=58.29 beta=58.29 gamma=58.29
Element x y z (fractional)
Tb: 0.000 0.500 0.500
Tb: 0.500 0.000 0.500
Tb: 0.500 0.500 0.000
Zr: 0.000 0.000 0.500
Zr: 0.000 0.500 0.000
Zr: 0.500 0.000 0.000
W: 0.500 0.500 0.500
N: 0.244 0.244 0.244
N: 0.260 0.726 0.726
N: 0.274 0.274 0.740
N: 0.274 0.740 0.274
N: 0.726 0.260 0.726
N: 0.726 0.726 0.260
N: 0.740 0.274 0.274
N: 0.756 0.756 0.756

Calculated values
N(E_F) in states/eV per cell: 3.28
DFT total energy in eV/atom: -9.342
Formation energy without anion corrections in eV per atom: -1.403
Density in g cm⁻³: 8.45

---

TbPrNdEr2: relaxed, PBE.

Unit cell a=8.917 b=8.917 c=6.448 alpha=90.00 beta=90.00 gamma=137.53
Element x y z (fractional)
Tb: 0.154 0.846 0.750
Tb: 0.846 0.154 0.250
Pr: 0.275 0.725 0.250
Pr: 0.725 0.275 0.750
Nd: 0.343 0.657 0.750
Nd: 0.657 0.343 0.250
Er: 0.254 0.254 0.000
Er: 0.254 0.254 0.500
Er: 0.746 0.746 0.000
Er: 0.746 0.746 0.500

Calculated values
Formation energy in meV/atom: 330
N(E_F) in states/eV per cell: 16.30
DFT total energy in eV/atom: -4.331
Density in g cm⁻³: 7.47

---

Zr2AgAu: relaxed, PBE.

Unit cell a=5.849 b=5.849 c=5.849 alpha=146.96 beta=130.87 gamma=60.49
Element x y z (fractional)
Zr: 0.000 0.000 0.000
Zr: 0.740 0.240 0.500
Ag: 0.262 0.762 0.500
Au: 0.493 0.493 0.000

Calculated values
Formation energy in meV/atom: -171
N(E_F) in states/eV per cell: 4.33
DFT total energy in eV/atom: -5.977
Density in g cm⁻³: 9.90

---

DyErTa: relaxed, PBE.

Unit cell a=4.491 b=4.491 c=7.968 alpha=90.00 beta=90.00 gamma=90.00
Element x y z (fractional)
Dy: 0.250 0.250 0.219
Dy: 0.750 0.750 0.781
Er: 0.250 0.250 0.775
Er: 0.750 0.750 0.225
Ta: 0.250 0.750 0.500
Ta: 0.750 0.250 0.500

Calculated values
Formation energy in meV/atom: 351
N(E_F) in states/eV per cell: 6.58
DFT total energy in eV/atom: -6.655
Density in g cm⁻³: 10.55

---

ThSc2Ga2Cu2: relaxed, PBE.

Unit cell a=8.734 b=8.734 c=8.734 alpha=28.87 beta=28.87 gamma=28.87
Element x y z (fractional)
Th: 0.000 0.000 0.000
Sc: 0.133 0.133 0.133
Sc: 0.867 0.867 0.867
Ga: 0.255 0.255 0.255
Ga: 0.745 0.745 0.745
Cu: 0.427 0.427 0.427
Cu: 0.573 0.573 0.573

Calculated values
Formation energy in meV/atom: -387
N(E_F) in states/eV per cell: 3.72
DFT total energy in eV/atom: -5.291
Density in g cm⁻³: 7.12